Computed, not measured: crystalline HfTa5C5 at its relaxed geometry at the GGA-PBE level of DFT.

The formation enthalpy at 0 K is -7.29 eV per formula unit. For the total energy, the calculation gives -11.15 eV/atom. The crystal system is monoclinic. The density of states at the Fermi level is 7.2 states/eV per cell.

Cell: 9.997 4.523 6.306 Å, 90.00 108.49 90.00°
Space group C2/m (No. 12)
Asymmetric unit:
Hf: 0.000 0.000 0.000
Ta: 0.000 0.000 0.500
Ta: 0.170 0.500 0.838
Ta: 0.172 0.500 0.332
C: 0.000 0.500 0.000
C: 0.168 0.000 0.338
C: 0.171 0.000 0.832

=====

Computed, not measured: crystalline Pu2Ga5Ni3 at its relaxed geometry at the GGA-PBE level of DFT.

The formation enthalpy at 0 K is -4.21 eV per formula unit. For the total energy, the calculation gives -6.54 eV/atom. The crystal system is orthorhombic. The density of states at the Fermi level is 93.7 states/eV per cell.

Cell: 9.949 12.361 5.505 Å, 90.00 90.00 90.00°
Space group Ibam (No. 72)
Asymmetric unit:
Pu: 0.220 0.150 0.000
Ga: 0.000 0.000 0.250
Ga: 0.000 0.295 0.250
Ga: 0.176 0.418 0.000
Ni: 0.000 0.500 0.250
Ni: 0.093 0.147 0.500

=====

Computed, not measured: crystalline Tb2Pm6Sm3Pu at its relaxed geometry at the GGA-PBE level of DFT.

The formation enthalpy at 0 K is 0.58 eV per formula unit. For the total energy, the calculation gives -5.47 eV/atom. The crystal system is monoclinic. The density of states at the Fermi level is 48.6 states/eV per cell.

Cell: 6.262 10.857 11.921 Å, 90.00 100.17 90.00°
Space group C2/m (No. 12)
Asymmetric unit:
Tb: 0.000 0.167 0.000
Pm: 0.246 0.335 0.246
Pm: 0.248 0.500 0.754
Sm: 0.000 0.000 0.500
Sm: 0.000 0.333 0.500
Pu: 0.000 0.500 0.000

=====

- Among the records above, which one has the lowest total energy?
  HfTa5C5